Entry 1:
Entry from the Open Quantum Materials Database: CsTb3F10 after structural relaxation (PBE).

The calculation puts the total energy at -6.28 eV/atom. The crystal system is monoclinic. The space group is Cm, No. 8.

abc: 7.7636 7.7636 4.0925
angles: 90.03 90.03 60.04
Atoms (fractional coordinates):
Cs 0.5050 0.5050 0.5295
F 0.6838 0.6838 0.0616
F 0.6832 0.1466 0.0647
F 0.1466 0.6832 0.0647
F 0.1713 0.1713 0.2776
F 0.9592 0.5935 0.5438
F 0.5935 0.9592 0.5438
F 0.9592 0.9592 0.5468
F 0.3107 0.3107 0.8259
F 0.8922 0.3100 0.8284
F 0.3100 0.8922 0.8284
Tb 0.4899 0.0119 0.0450
Tb 0.0119 0.4899 0.0450
Tb 0.0114 0.0114 0.0484

Entry 2:
Entry from the Open Quantum Materials Database: Cs2TcF6 after structural relaxation (PBE).

The calculation puts the total energy at -5.12 eV/atom. The crystal system is trigonal. The space group is P-3m1, No. 164.

abc: 6.0679 6.0679 4.7849
angles: 90.00 90.00 120.00
Atoms (fractional coordinates):
Cs 0.3333 0.6667 0.2963
Cs 0.6667 0.3333 0.7037
F 0.3116 0.1558 0.2251
F 0.8442 0.1558 0.2251
F 0.8442 0.6884 0.2251
F 0.1558 0.3116 0.7749
F 0.1558 0.8442 0.7749
F 0.6884 0.8442 0.7749
Tc 0.0000 0.0000 0.0000

Entry 3:
Entry from the Open Quantum Materials Database: Cs2TcF6 after structural relaxation (PBE).

The calculation puts the total energy at -5.11 eV/atom. The crystal system is cubic. The space group is Fm-3m, No. 225.

abc: 6.1000 6.1000 6.1000
angles: 60.00 60.00 60.00
Atoms (fractional coordinates):
Cs 0.2500 0.2500 0.2500
Cs 0.7500 0.7500 0.7500
F 0.7726 0.7726 0.2274
F 0.7726 0.2274 0.2274
F 0.2274 0.7726 0.2274
F 0.7726 0.2274 0.7726
F 0.2274 0.2274 0.7726
F 0.2274 0.7726 0.7726
Tc 0.0000 0.0000 0.0000

Entry 4:
Entry from the Open Quantum Materials Database: CsTlTc2F6 after structural relaxation (PBE).

The calculation puts the total energy at -4.15 eV/atom. The crystal system is cubic. The space group is Fm-3m, No. 225.

abc: 6.7164 6.7164 6.7164
angles: 60.00 60.00 60.00
Atoms (fractional coordinates):
Cs 0.0000 0.0000 0.0000
F 0.7261 0.2739 0.2739
F 0.2739 0.7261 0.2739
F 0.7261 0.7261 0.2739
F 0.2739 0.2739 0.7261
F 0.7261 0.2739 0.7261
F 0.2739 0.7261 0.7261
Tc 0.2500 0.2500 0.2500
Tc 0.7500 0.7500 0.7500
Tl 0.5000 0.5000 0.5000

Entry 5:
Entry from the Open Quantum Materials Database: Cs2Th6F25 after structural relaxation (PBE).

The calculation puts the total energy at -6.75 eV/atom. The crystal system is hexagonal. The space group is P6/mmm, No. 191.

abc: 8.2106 8.2106 8.5548
angles: 90.00 90.00 120.00
Atoms (fractional coordinates):
Cs 0.0000 0.0000 0.0000
Cs 0.0000 0.0000 0.5000
F 0.5000 0.0000 0.0000
F 0.0000 0.5000 0.0000
F 0.5000 0.5000 0.0000
F 0.3646 0.1823 0.1959
F 0.8177 0.1823 0.1959
F 0.1823 0.3646 0.1959
F 0.8177 0.6354 0.1959
F 0.1823 0.8177 0.1959
F 0.6354 0.8177 0.1959
F 0.6667 0.3333 0.3512
F 0.3333 0.6667 0.3512
F 0.3458 0.0000 0.5000
F 0.6542 0.0000 0.5000
F 0.0000 0.3458 0.5000
F 0.3458 0.3458 0.5000
F 0.0000 0.6542 0.5000
F 0.6542 0.6542 0.5000
F 0.6667 0.3333 0.6488
F 0.3333 0.6667 0.6488
F 0.3646 0.1823 0.8041
F 0.8177 0.1823 0.8041
F 0.1823 0.3646 0.8041
F 0.8177 0.6354 0.8041
F 0.1823 0.8177 0.8041
F 0.6354 0.8177 0.8041
Th 0.5000 0.0000 0.2670
Th 0.0000 0.5000 0.2670
Th 0.5000 0.5000 0.2670
Th 0.5000 0.0000 0.7330
Th 0.0000 0.5000 0.7330
Th 0.5000 0.5000 0.7330

Entry 6:
Entry from the Open Quantum Materials Database: CsZn2F5 after structural relaxation (PBE).

The calculation puts the total energy at -3.98 eV/atom. The crystal system is monoclinic. The space group is P2_1/c, No. 14.

abc: 7.1092 7.3284 10.3380
angles: 90.00 121.52 90.00
Atoms (fractional coordinates):
Cs 0.8783 0.4712 0.1117
Cs 0.1217 0.9712 0.3883
Cs 0.8783 0.0288 0.6117
Cs 0.1217 0.5288 0.8883
F 0.4777 0.2757 0.0213
F 0.8123 0.0285 0.0864
F 0.1767 0.7896 0.1462
F 0.2032 0.1849 0.1613
F 0.5789 0.9916 0.2295
F 0.4211 0.4916 0.2705
F 0.7968 0.6849 0.3387
F 0.8233 0.2896 0.3538
F 0.1877 0.5285 0.4136
F 0.5223 0.7757 0.4787
F 0.4777 0.2243 0.5213
F 0.8123 0.4715 0.5864
F 0.1767 0.7104 0.6462
F 0.2032 0.3151 0.6613
F 0.5789 0.5084 0.7295
F 0.4211 0.0084 0.7705
F 0.7968 0.8151 0.8387
F 0.8233 0.2104 0.8538
F 0.1877 0.9715 0.9136
F 0.5223 0.7243 0.9787
Zn 0.0000 0.0000 0.0000
Zn 0.5000 0.0000 0.0000
Zn 0.5040 0.2570 0.2234
Zn 0.4960 0.7570 0.2766
Zn 0.0000 0.5000 0.5000
Zn 0.5000 0.5000 0.5000
Zn 0.5040 0.2430 0.7234
Zn 0.4960 0.7430 0.7766

What did the sixth record say?
Entry from the Open Quantum Materials Database: CsZn2F5 after structural relaxation (PBE).

The calculation puts the total energy at -3.98 eV/atom. The crystal system is monoclinic. The space group is P2_1/c, No. 14.

abc: 7.1092 7.3284 10.3380
angles: 90.00 121.52 90.00
Atoms (fractional coordinates):
Cs 0.8783 0.4712 0.1117
Cs 0.1217 0.9712 0.3883
Cs 0.8783 0.0288 0.6117
Cs 0.1217 0.5288 0.8883
F 0.4777 0.2757 0.0213
F 0.8123 0.0285 0.0864
F 0.1767 0.7896 0.1462
F 0.2032 0.1849 0.1613
F 0.5789 0.9916 0.2295
F 0.4211 0.4916 0.2705
F 0.7968 0.6849 0.3387
F 0.8233 0.2896 0.3538
F 0.1877 0.5285 0.4136
F 0.5223 0.7757 0.4787
F 0.4777 0.2243 0.5213
F 0.8123 0.4715 0.5864
F 0.1767 0.7104 0.6462
F 0.2032 0.3151 0.6613
F 0.5789 0.5084 0.7295
F 0.4211 0.0084 0.7705
F 0.7968 0.8151 0.8387
F 0.8233 0.2104 0.8538
F 0.1877 0.9715 0.9136
F 0.5223 0.7243 0.9787
Zn 0.0000 0.0000 0.0000
Zn 0.5000 0.0000 0.0000
Zn 0.5040 0.2570 0.2234
Zn 0.4960 0.7570 0.2766
Zn 0.0000 0.5000 0.5000
Zn 0.5000 0.5000 0.5000
Zn 0.5040 0.2430 0.7234
Zn 0.4960 0.7430 0.7766